No. 1
Entry from the Alexandria database: a relaxed RbCdIn2Bi crystal (PBE).

Unit cell a=7.234 b=7.234 c=7.234 alpha=138.47 beta=135.96 gamma=62.12
Fractional coordinates of all 5 atoms:
Rb1 0.000 0.000 0.000
Cd1 0.252 0.752 0.500
In1 0.368 0.368 0.000
In2 0.760 0.260 0.500
Bi1 0.613 0.613 0.000

**Energy of formation from the pure elements**: -0.16 eV per atom
**Symmetry**: Imm2

---

No. 2
Entry from the Alexandria database: a relaxed TiReN3 crystal (PBE).

Unit cell a=3.641 b=3.641 c=5.696 alpha=103.44 beta=103.44 gamma=46.06
Fractional coordinates of all 5 atoms:
Ti1 0.000 0.000 0.000
Re1 0.786 0.786 0.472
N1 0.064 0.064 0.391
N2 0.383 0.383 0.732
N3 0.726 0.726 0.100

**Symmetry**: Cm
**Raw formation energy**: -0.453 eV/atom